# 1
! ZrTe2P meta-GGA SCAN single point on PBEsol structure; values from VASP
! Final energy in eV per atom: -28.909
! Space-group type: I4/mmm (139)
! Fermi-level density of states in states/eV per cell: 2.5
! Formation energy from raw total energies in kcal/mol of atoms: -0.20
&SYSTEM
  ibrav = 0, nat = 4, ntyp = 3
/
ATOMIC_SPECIES
Zr 91.22 Zr.upf
Te 127.60 Te.upf
P 30.97 P.upf
CELL_PARAMETERS angstrom
-2.1329 2.1329 4.7706
2.1329 -2.1329 4.7706
2.1329 2.1329 -4.7706
ATOMIC_POSITIONS crystal
Zr 0.0000 0.0000 0.0000
Te 0.2500 0.7500 0.5000
Te 0.7500 0.2500 0.5000
P 0.5000 0.5000 0.0000

=====

# 2
! LiZr4Cu meta-GGA SCAN single point on PBEsol structure; values from VASP
! Final energy in eV per atom: -22.763
! Space-group type: F-43m (216)
! Fermi-level density of states in states/eV per cell: 6.3
&SYSTEM
  ibrav = 0, nat = 6, ntyp = 3
/
ATOMIC_SPECIES
Li 6.94 Li.upf
Zr 91.22 Zr.upf
Cu 63.55 Cu.upf
CELL_PARAMETERS angstrom
0.0000 3.9823 3.9823
3.9823 0.0000 3.9823
3.9823 3.9823 0.0000
ATOMIC_POSITIONS crystal
Li 0.0000 0.0000 0.0000
Zr 0.3757 0.3757 0.3757
Zr 0.3757 0.3757 0.8728
Zr 0.3757 0.8728 0.3757
Zr 0.8728 0.3757 0.3757
Cu 0.7500 0.7500 0.7500

=====

# 3
! Cu2TcPt meta-GGA SCAN single point on PBEsol structure; values from VASP
! Final energy in eV per atom: -33.960
! Space-group type: P4mm (99)
! Energy above the most stable polymorph in this dataset in eV/atom: 0.000
! Fermi-level density of states in states/eV per cell: 2.5
&SYSTEM
  ibrav = 0, nat = 4, ntyp = 3
/
ATOMIC_SPECIES
Cu 63.55 Cu.upf
Tc 98.00 Tc.upf
Pt 195.08 Pt.upf
CELL_PARAMETERS angstrom
2.6806 0.0000 0.0000
0.0000 2.6806 0.0000
0.0000 0.0000 7.1877
ATOMIC_POSITIONS crystal
Cu 0.0000 0.0000 0.0000
Cu 0.5000 0.5000 0.2228
Tc 0.5000 0.5000 0.7464
Pt 0.0000 0.0000 0.4833

=====

# 4
! BeNiCl2 meta-GGA SCAN single point on PBEsol structure; values from VASP
! Final energy in eV per atom: -8.364
! Space-group type: F-43m (216)
! Energy above the most stable polymorph in this dataset in eV/atom: 1.062
! Fermi-level density of states in states/eV per cell: 3.8
! Formation energy from raw total energies in kcal/mol of atoms: 17.46
&SYSTEM
  ibrav = 0, nat = 4, ntyp = 3
/
ATOMIC_SPECIES
Be 9.01 Be.upf
Ni 58.69 Ni.upf
Cl 35.45 Cl.upf
CELL_PARAMETERS angstrom
0.0000 3.0630 3.0630
3.0630 0.0000 3.0630
3.0630 3.0630 0.0000
ATOMIC_POSITIONS crystal
Be 0.0000 0.0000 0.0000
Ni 0.7500 0.7500 0.7500
Cl 0.2500 0.2500 0.2500
Cl 0.5000 0.5000 0.5000

=====

# 5
! Fe5Si meta-GGA SCAN single point on PBEsol structure; values from VASP
! Final energy in eV per atom: -16.943
! Space-group type: Cmmm (65)
! Energy above the most stable polymorph in this dataset in eV/atom: 0.010
! Fermi-level density of states in states/eV per cell: 3.6
! Formation energy from raw total energies in kcal/mol of atoms: -3.82
&SYSTEM
  ibrav = 0, nat = 6, ntyp = 2
/
ATOMIC_SPECIES
Fe 55.84 Fe.upf
Si 28.09 Si.upf
CELL_PARAMETERS angstrom
1.3907 -5.8920 0.0000
1.3907 5.8920 0.0000
0.0000 0.0000 3.8798
ATOMIC_POSITIONS crystal
Fe 0.0000 0.0000 0.0000
Fe 0.1666 0.8334 0.5000
Fe 0.3343 0.6657 0.0000
Fe 0.6657 0.3343 0.0000
Fe 0.8334 0.1666 0.5000
Si 0.5000 0.5000 0.5000

=====

# 6
! Cs2TiGaCu meta-GGA SCAN single point on PBEsol structure; values from VASP
! Final energy in eV per atom: -23.807
! Space-group type: P4/mmm (123)
! Fermi-level density of states in states/eV per cell: 2.9
&SYSTEM
  ibrav = 0, nat = 5, ntyp = 4
/
ATOMIC_SPECIES
Cs 132.91 Cs.upf
Ti 47.87 Ti.upf
Ga 69.72 Ga.upf
Cu 63.55 Cu.upf
CELL_PARAMETERS angstrom
6.4097 0.0000 0.0000
0.0000 6.4097 0.0000
0.0000 0.0000 4.6555
ATOMIC_POSITIONS crystal
Cs 0.0000 0.5000 0.0000
Cs 0.5000 0.0000 0.0000
Ti 0.0000 0.0000 0.5000
Ga 0.5000 0.5000 0.5000
Cu 0.5000 0.5000 0.0000

=====

# 7
! SrCaRu2 meta-GGA SCAN single point on PBEsol structure; values from VASP
! Final energy in eV per atom: -25.069
! Space-group type: Cmm2 (35)
! Energy above the most stable polymorph in this dataset in eV/atom: 0.000
! Fermi-level density of states in states/eV per cell: 3.2
&SYSTEM
  ibrav = 0, nat = 4, ntyp = 3
/
ATOMIC_SPECIES
Sr 87.62 Sr.upf
Ca 40.08 Ca.upf
Ru 101.07 Ru.upf
CELL_PARAMETERS angstrom
2.2182 -2.5139 0.0000
2.2182 2.5139 0.0000
0.0000 0.0000 8.7324
ATOMIC_POSITIONS crystal
Sr 0.0000 0.0000 0.0000
Ca 0.5000 0.5000 0.5945
Ru 0.0000 0.0000 0.3590
Ru 0.5000 0.5000 0.2558

=====

# 8
! LaCoRe meta-GGA SCAN single point on PBEsol structure; values from VASP
! Final energy in eV per atom: -43.422
! Space-group type: Imm2 (44)
! Energy above the most stable polymorph in this dataset in eV/atom: 0.242
! Fermi-level density of states in states/eV per cell: 3.1
&SYSTEM
  ibrav = 0, nat = 3, ntyp = 3
/
ATOMIC_SPECIES
La 138.91 La.upf
Co 58.93 Co.upf
Re 186.21 Re.upf
CELL_PARAMETERS angstrom
-1.4022 1.7836 5.4168
1.4022 -1.7836 5.4168
1.4022 1.7836 -5.4168
ATOMIC_POSITIONS crystal
La 0.0000 0.0000 0.0000
Co 0.2938 0.2938 0.0000
Re 0.7119 0.7119 0.0000

=====

# 9
! Bi2MoIrSe meta-GGA SCAN single point on PBEsol structure; values from VASP
! Final energy in eV per atom: -55.591
! Space-group type: P4/mmm (123)
! Fermi-level density of states in states/eV per cell: 4.5
! Formation energy from raw total energies in kcal/mol of atoms: 24.30
&SYSTEM
  ibrav = 0, nat = 5, ntyp = 4
/
ATOMIC_SPECIES
Bi 208.98 Bi.upf
Mo 95.94 Mo.upf
Ir 192.22 Ir.upf
Se 78.96 Se.upf
CELL_PARAMETERS angstrom
5.3201 0.0000 0.0000
0.0000 5.3201 0.0000
0.0000 0.0000 4.6127
ATOMIC_POSITIONS crystal
Bi 0.0000 0.5000 0.0000
Bi 0.5000 0.0000 0.0000
Mo 0.0000 0.0000 0.0000
Ir 0.0000 0.0000 0.5000
Se 0.5000 0.5000 0.5000

=====

# 10
! Hf2ScNiP meta-GGA SCAN single point on PBEsol structure; values from VASP
! Final energy in eV per atom: -33.218
! Space-group type: P4/mmm (123)
! Fermi-level density of states in states/eV per cell: 2.5
&SYSTEM
  ibrav = 0, nat = 5, ntyp = 4
/
ATOMIC_SPECIES
Hf 178.49 Hf.upf
Sc 44.96 Sc.upf
Ni 58.69 Ni.upf
P 30.97 P.upf
CELL_PARAMETERS angstrom
4.6746 0.0000 0.0000
0.0000 4.6746 0.0000
0.0000 0.0000 4.6809
ATOMIC_POSITIONS crystal
Hf 0.0000 0.5000 0.0000
Hf 0.5000 0.0000 0.0000
Sc 0.0000 0.0000 0.5000
Ni 0.0000 0.0000 0.0000
P 0.5000 0.5000 0.5000

=====

# 11
! UO2F2 meta-GGA SCAN single point on PBEsol structure; values from VASP
! Final energy in eV per atom: -27.983
! Space-group type: R-3m (166)
! Fermi-level density of states in states/eV per cell: 0.0
! Formation energy from raw total energies in kcal/mol of atoms: -77.68
&SYSTEM
  ibrav = 0, nat = 5, ntyp = 3
/
ATOMIC_SPECIES
U 238.03 U.upf
O 16.00 O.upf
F 19.00 F.upf
CELL_PARAMETERS angstrom
2.0909 1.2072 5.4275
-2.0909 1.2072 5.4275
0.0000 -2.4144 5.4275
ATOMIC_POSITIONS crystal
U 0.0000 0.0000 0.0000
O 0.1088 0.1088 0.1088
O 0.8912 0.8912 0.8912
F 0.3342 0.3342 0.3342
F 0.6658 0.6658 0.6658

=====

# 12
! CdSi2O meta-GGA SCAN single point on PBEsol structure; values from VASP
! Final energy in eV per atom: -13.432
! Space-group type: Fm-3m (225)
! Fermi-level density of states in states/eV per cell: 1.9
! Formation energy from raw total energies in kcal/mol of atoms: 17.00
&SYSTEM
  ibrav = 0, nat = 4, ntyp = 3
/
ATOMIC_SPECIES
Cd 112.41 Cd.upf
Si 28.09 Si.upf
O 16.00 O.upf
CELL_PARAMETERS angstrom
0.0000 3.0843 3.0843
3.0843 0.0000 3.0843
3.0843 3.0843 0.0000
ATOMIC_POSITIONS crystal
Cd 0.0000 0.0000 0.0000
Si 0.2500 0.2500 0.2500
Si 0.7500 0.7500 0.7500
O 0.5000 0.5000 0.5000

=====

# 13
! Ta3MnBr meta-GGA SCAN single point on PBEsol structure; values from VASP
! Final energy in eV per atom: -45.960
! Space-group type: Pm-3m (221)
! Fermi-level density of states in states/eV per cell: 4.1
! Formation energy from raw total energies in kcal/mol of atoms: 35.36
&SYSTEM
  ibrav = 0, nat = 5, ntyp = 3
/
ATOMIC_SPECIES
Ta 180.95 Ta.upf
Mn 54.94 Mn.upf
Br 79.90 Br.upf
CELL_PARAMETERS angstrom
4.6565 0.0000 0.0000
0.0000 4.6565 0.0000
0.0000 0.0000 4.6565
ATOMIC_POSITIONS crystal
Ta 0.0000 0.0000 0.5000
Ta 0.0000 0.5000 0.0000
Ta 0.5000 0.0000 0.0000
Mn 0.5000 0.5000 0.5000
Br 0.0000 0.0000 0.0000

=====

# 14
! ScMn2Be meta-GGA SCAN single point on PBEsol structure; values from VASP
! Final energy in eV per atom: -13.759
! Space-group type: I4/mmm (139)
! Fermi-level density of states in states/eV per cell: 2.9
&SYSTEM
  ibrav = 0, nat = 4, ntyp = 3
/
ATOMIC_SPECIES
Sc 44.96 Sc.upf
Mn 54.94 Mn.upf
Be 9.01 Be.upf
CELL_PARAMETERS angstrom
-1.9004 1.9004 3.6185
1.9004 -1.9004 3.6185
1.9004 1.9004 -3.6185
ATOMIC_POSITIONS crystal
Sc 0.0000 0.0000 0.0000
Mn 0.2500 0.7500 0.5000
Mn 0.7500 0.2500 0.5000
Be 0.5000 0.5000 0.0000

=====

# 15
! MgIn3 meta-GGA SCAN single point on PBEsol structure; values from VASP
! Final energy in eV per atom: -26.305
! Space-group type: R-3m (166)
! Fermi-level density of states in states/eV per cell: 1.6
&SYSTEM
  ibrav = 0, nat = 4, ntyp = 2
/
ATOMIC_SPECIES
Mg 24.30 Mg.upf
In 114.82 In.upf
CELL_PARAMETERS angstrom
1.6690 0.9636 10.0636
-1.6690 0.9636 10.0636
0.0000 -1.9272 10.0636
ATOMIC_POSITIONS crystal
Mg 0.0000 0.0000 0.0000
In 0.2525 0.2525 0.2525
In 0.5000 0.5000 0.5000
In 0.7475 0.7475 0.7475

=====

# 16
! KAuSe meta-GGA SCAN single point on PBEsol structure; values from VASP
! Final energy in eV per atom: -33.319
! Space-group type: P-6m2 (187)
! Fermi-level density of states in states/eV per cell: 0.2
! Formation energy from raw total energies in kcal/mol of atoms: -18.39
&SYSTEM
  ibrav = 0, nat = 3, ntyp = 3
/
ATOMIC_SPECIES
K 39.10 K.upf
Au 196.97 Au.upf
Se 78.96 Se.upf
CELL_PARAMETERS angstrom
4.4150 0.0000 0.0000
-2.2075 3.8235 0.0000
0.0000 0.0000 4.7461
ATOMIC_POSITIONS crystal
K 0.0000 0.0000 0.0000
Au 0.6667 0.3333 0.5000
Se 0.3333 0.6667 0.5000

=====

# 17
! Cr2CuPt meta-GGA SCAN single point on PBEsol structure; values from VASP
! Final energy in eV per atom: -30.533
! Space-group type: Pmmm (47)
! Fermi-level density of states in states/eV per cell: 2.7
&SYSTEM
  ibrav = 0, nat = 4, ntyp = 3
/
ATOMIC_SPECIES
Cr 52.00 Cr.upf
Cu 63.55 Cu.upf
Pt 195.08 Pt.upf
CELL_PARAMETERS angstrom
2.5599 0.0000 0.0000
0.0000 3.8204 0.0000
0.0000 0.0000 4.9987
ATOMIC_POSITIONS crystal
Cr 0.0000 0.0000 0.2248
Cr 0.0000 0.0000 0.7752
Cu 0.5000 0.5000 0.0000
Pt 0.5000 0.5000 0.5000

=====

# 18
! YSc2In meta-GGA SCAN single point on PBEsol structure; values from VASP
! Final energy in eV per atom: -22.253
! Space-group type: R-3m (166)
! Fermi-level density of states in states/eV per cell: 5.3
&SYSTEM
  ibrav = 0, nat = 4, ntyp = 3
/
ATOMIC_SPECIES
Y 88.91 Y.upf
Sc 44.96 Sc.upf
In 114.82 In.upf
CELL_PARAMETERS angstrom
1.6456 0.9501 11.3008
-1.6456 0.9501 11.3008
0.0000 -1.9002 11.3008
ATOMIC_POSITIONS crystal
Y 0.0000 0.0000 0.0000
Sc 0.4122 0.4122 0.4122
Sc 0.5878 0.5878 0.5878
In 0.5000 0.5000 0.5000

=====

# 19
! InGaN2 meta-GGA SCAN single point on PBEsol structure; values from VASP
! Final energy in eV per atom: -17.400
! Space-group type: I-42d (122)
! Formation energy from raw total energies in kcal/mol of atoms: -7.40
&SYSTEM
  ibrav = 0, nat = 8, ntyp = 3
/
ATOMIC_SPECIES
In 114.82 In.upf
Ga 69.72 Ga.upf
N 14.01 N.upf
CELL_PARAMETERS angstrom
-2.3807 2.3807 4.6801
2.3807 -2.3807 4.6801
2.3807 2.3807 -4.6801
ATOMIC_POSITIONS crystal
In 0.0000 0.0000 0.0000
In 0.7500 0.2500 0.5000
Ga 0.2500 0.7500 0.5000
Ga 0.5000 0.5000 0.0000
N 0.1611 0.6250 0.0361
N 0.3750 0.4111 0.5361
N 0.5889 0.1250 0.9639
N 0.8750 0.8389 0.4639

=====

# 20
! FeOs2Ru2 meta-GGA SCAN single point on PBEsol structure; values from VASP
! Final energy in eV per atom: -45.643
! Space-group type: I4/mmm (139)
! Fermi-level density of states in states/eV per cell: 4.8
&SYSTEM
  ibrav = 0, nat = 5, ntyp = 3
/
ATOMIC_SPECIES
Fe 55.84 Fe.upf
Os 190.23 Os.upf
Ru 101.07 Ru.upf
CELL_PARAMETERS angstrom
-1.8187 1.8187 5.8126
1.8187 -1.8187 5.8126
1.8187 1.8187 -5.8126
ATOMIC_POSITIONS crystal
Fe 0.0000 0.0000 0.0000
Os 0.3994 0.3994 0.0000
Os 0.6006 0.6006 0.0000
Ru 0.2500 0.7500 0.5000
Ru 0.7500 0.2500 0.5000